Run one
DFT (PBE-GGA) results for a relaxed PmCl crystal.

The structure in extended XYZ format:
```
2
Lattice="3.570 0.000 0.000 -1.785 3.092 0.000 0.000 0.000 4.402" Properties=species:S:1:pos:R:3 pbc="T T T"
Pm 0.000 2.061 1.100
Cl 1.785 1.031 3.301
```

Output
As for the space group: P-6m2 (187). As for the magnetization: 0.0 μB/f.u. The volume comes out at 24.292 Å³ per atom.

Run two
DFT (PBE-GGA) results for a relaxed PmCl crystal.

The structure in extended XYZ format:
```
2
Lattice="0.000 2.857 2.857 2.857 0.000 2.857 2.857 2.857 0.000" Properties=species:S:1:pos:R:3 pbc="T T T"
Cl 0.000 0.000 0.000
Pm 2.857 2.857 2.857
```

Output
As for the space group: Fm-3m (225). As for the magnetization: 0.0 μB/f.u. The volume comes out at 23.328 Å³ per atom.

Most stable structure - run one; separation to the second - 15.6 kJ/mol of atoms.

Run one
DFT (PBE-GGA) results for a relaxed Pt2Cl crystal.

The structure in extended XYZ format:
```
6
Lattice="5.246 0.650 4.966 6.619 -2.639 -1.351 5.544 4.531 -1.154" Properties=species:S:1:pos:R:3 pbc="T T T"
Cl 4.352 0.635 0.615
Cl 8.704 1.271 1.231
Pt 9.301 3.218 0.346
Pt 6.528 0.953 0.923
Pt 9.838 -0.367 0.248
Pt 9.151 1.278 3.406
```

Output
As for the space group: Fd-3m (227). As for the magnetization: 0.0 μB/f.u. The volume comes out at 44.955 Å³ per atom.

Run two
DFT (PBE-GGA) results for a relaxed Pt2Cl crystal.

The structure in extended XYZ format:
```
6
Lattice="2.408 -0.256 4.819 3.078 4.091 1.697 -1.694 3.157 4.032" Properties=species:S:1:pos:R:3 pbc="T T T"
Pt 1.166 4.498 4.183
Pt 2.370 4.370 6.593
Pt 3.217 2.792 4.577
Pt 0.831 2.325 5.744
Cl 0.948 1.748 2.637
Cl 0.000 0.000 0.000
```

Output
As for the space group: Fd-3m (227). As for the magnetization: 0.0 μB/f.u. The volume comes out at 18.493 Å³ per atom.

Most stable structure - run two; separation to the second - 46.5 kJ/mol of atoms.

Run one
DFT (PBE-GGA) results for a relaxed ReCl4 crystal.

The structure in extended XYZ format:
```
5
Lattice="-2.607 5.314 0.433 2.047 0.978 -5.484 -2.929 -1.328 -1.330" Properties=species:S:1:pos:R:3 pbc="T T T"
Cl -3.180 3.820 -1.365
Cl -0.159 1.785 -1.433
Cl -0.401 4.507 -3.618
Cl -0.309 1.144 -5.016
Re 0.000 0.000 0.000
```

Output
As for the space group: Cmmm (65). As for the magnetization: 2.3 μB/f.u. The volume comes out at 24.456 Å³ per atom.

Run two
DFT (PBE-GGA) results for a relaxed ReCl4 crystal.

The structure in extended XYZ format:
```
20
Lattice="-5.178 0.865 3.635 -0.868 -6.274 0.256 7.509 -0.644 9.660" Properties=species:S:1:pos:R:3 pbc="T T T"
Cl -3.811 -0.074 2.960
Cl 0.398 -3.486 4.970
Cl 2.257 -5.731 9.295
Cl -0.080 -2.523 1.826
Cl -0.794 -0.323 4.257
Cl 5.274 -5.980 10.592
Cl -2.807 -3.091 3.786
Cl 3.513 -4.009 6.704
Cl 1.543 -3.531 11.726
Cl 0.409 0.065 10.894
Cl -0.729 -5.256 7.988
Cl 4.269 -2.963 9.766
Cl 2.191 -0.798 5.563
Cl 1.065 -2.568 8.582
Cl 1.053 -6.119 2.658
Cl -2.051 -2.045 6.848
Re 4.509 -4.966 8.703
Re 1.160 -1.714 3.753
Re -3.046 -1.088 4.849
Re 0.303 -4.340 9.799
```

Output
As for the space group: P2/c (13). As for the magnetization: 2.0 μB/f.u. The volume comes out at 24.762 Å³ per atom.

Most stable structure - run two; separation to the second - 6.5 kJ/mol of atoms.